Crystalline Be2AlRe at its relaxed geometry. Source: the Alexandria database, functional PBE.

Lattice parameters (Å, degrees): 2.6221 3.8525 4.8097 90.00 105.54 90.00
Closest atoms and distances in Å follow each position.
Positions (direct):
Be (0.0000, 0.0000, 0.0000)  2 Be 2.25, 3 Re 2.49-2.51
Be (0.1242, 0.5000, 0.2499)  2 Be 2.25, 1 Al 2.39
Al (0.3802, 0.5000, 0.7654)  7 Be 2.39-2.61, 2 Al 2.62
Re (0.7248, 0.0000, 0.4578)  7 Be 2.49-2.52, 2 Re 2.62, 4 Al 2.73-2.74

Output
- E_form: -0.0333 eV/atom


Crystalline Cs2BrCl6 at its relaxed geometry. Source: the Alexandria database, functional PBE.

Lattice parameters (Å, degrees): 5.5310 6.1399 12.1676 78.04 82.18 71.29
Closest atoms and distances in Å follow each position.
Positions (direct):
Cs (0.0753, 0.0071, 0.2694)  7 Cl 3.57-3.82, 2 Br 3.88-3.95
Cs (0.9247, 0.9929, 0.7306)  7 Cl 3.57-3.82, 2 Br 3.88-3.95
Br (0.5000, 0.0000, 0.5000)  2 Cl 2.86
Cl (0.1357, 0.1798, 0.9493)  1 Cl 2.20
Cl (0.3336, 0.3926, 0.8251)  1 Cl 2.20
Cl (0.4302, 0.3786, 0.3132)  1 Cl 2.47
Cl (0.5698, 0.6214, 0.6868)  1 Cl 2.47
Cl (0.6664, 0.6074, 0.1749)  1 Cl 2.20
Cl (0.8643, 0.8202, 0.0507)  1 Cl 2.20

Output
- Energy above the lowest structure with this stoichiometry: 0 meV per atom
- Formation energy (no corrections): -81.2 kJ per mole of atoms


Number 1: density 8.202 g/cm3. Number 2: density 2.429 g/cm3.